# 1
Here is an optimized crystal structure of YIn2Bi from the Alexandria database. Energies are from PBE-GGA.

## Properties
Symmetry: I-42d
Energy of formation from the pure elements in eV/atom: -0.191
Size of the total moment in μB per atom: 0.000

Cell: 6.909 6.909 6.909 Å, 102.20 102.20 125.27°
Sites, in units of the cell vectors:
Y 0.000 0.000 0.000
Y 0.750 0.250 0.500
In 0.135 0.625 0.010
In 0.375 0.385 0.510
In 0.615 0.125 0.990
In 0.875 0.865 0.490
Bi 0.250 0.750 0.500
Bi 0.500 0.500 0.000

# 2
Here is an optimized crystal structure of Y2In2Bi from the Alexandria database. Energies are from PBE-GGA.

## Properties
Symmetry: I4/mmm
Energy of formation from the pure elements in eV/atom: 0.013
Distance to the lowest polymorph of the same formula in eV/atom: 0.458
Size of the total moment in μB per atom: 0.000

Cell: 7.319 7.319 7.319 Å, 140.26 140.26 57.46°
Sites, in units of the cell vectors:
Y 0.250 0.750 0.500
Y 0.750 0.250 0.500
In 0.105 0.105 0.000
In 0.895 0.895 0.000
Bi 0.500 0.500 0.000

# 3
Here is an optimized crystal structure of Y3InBi from the Alexandria database. Energies are from PBE-GGA.

## Properties
Symmetry: Pm-3m
Energy of formation from the pure elements in eV/atom: 0.013
Distance to the lowest polymorph of the same formula in eV/atom: 0.113
Size of the total moment in μB per atom: 0.000

Cell: 5.649 5.649 5.649 Å, 90.00 90.00 90.00°
Sites, in units of the cell vectors:
Y 0.000 0.000 0.500
Y 0.000 0.500 0.000
Y 0.500 0.000 0.000
In 0.000 0.000 0.000
Bi 0.500 0.500 0.500

We obtain D(E_F) values of 0.59; 1.04; 0.90 states/eV per atom for the records listed above, in that order.